# PmAlV2O8 (GGA+U, optimized geometry)
# * uncorrected energy: -0.5526 Ry per atom
data_PmAlV2O8
_cell_length_a 6.951
_cell_length_b 6.951
_cell_length_c 6.287
_cell_angle_alpha 90.00
_cell_angle_beta 90.00
_cell_angle_gamma 90.00
_symmetry_space_group_name_H-M 'I -4 m 2'
_symmetry_Int_Tables_number 119
_symmetry_space_group_name_Hall 'I -4 -2'
loop_
_atom_site_label
_atom_site_type_symbol
_atom_site_fract_x
_atom_site_fract_y
_atom_site_fract_z
Pm1 Pm 0.000 0.000 0.000
Al1 Al 0.000 0.500 0.750
V1 V 0.000 0.000 0.500
V2 V 0.000 0.500 0.250
O1 O 0.000 0.204 0.668
O2 O 0.000 0.321 0.060